No. 1
4
Lattice="0.0000 3.5612 3.5612 3.5612 0.0000 3.5612 3.5612 3.5612 0.0000" Properties=species:S:1:pos:R:3 comment="NaLaBiIr (PBE, relaxed)" final_energy_ev_per_atom=-5.16 polymorph_energy_mev_per_atom=0 space_group=F-43m density_g_cm3=10.352 m_tot_mub_per_cell=0.0 pbc="T T T"
Na 0.0000 0.0000 0.0000
La 1.7806 1.7806 1.7806
Bi 5.3418 5.3418 5.3418
Ir 3.5612 3.5612 3.5612

---

No. 2
4
Lattice="0.0000 3.6816 3.6816 3.6816 0.0000 3.6816 3.6816 3.6816 0.0000" Properties=species:S:1:pos:R:3 comment="NaLaBiIr (PBE, relaxed)" final_energy_ev_per_atom=-4.91 polymorph_energy_mev_per_atom=252 space_group=F-43m density_g_cm3=9.369 m_tot_mub_per_cell=0.0 pbc="T T T"
Na 0.0000 0.0000 0.0000
La 3.6816 3.6816 3.6816
Bi 1.8408 1.8408 1.8408
Ir 5.5223 5.5223 5.5223

---

No. 3
12
Lattice="4.6552 0.0000 0.0000 0.0000 9.3987 0.0000 0.0000 0.0000 6.6456" Properties=species:S:1:pos:R:3 comment="LaNbBi2Ir2 (PBE, relaxed)" final_energy_ev_per_atom=-7.25 space_group=Pmn2_1 density_g_cm3=11.813 m_tot_mub_per_cell=0.0 pbc="T T T"
La 0.0000 1.1653 0.0000
La 2.3276 8.2334 3.3228
Nb 0.0000 5.7888 0.1323
Nb 2.3276 3.6099 3.4551
Bi 0.0000 1.2773 3.2834
Bi 0.0000 5.8556 3.5421
Bi 2.3276 3.5430 0.2193
Bi 2.3276 8.1214 6.6062
Ir 0.0000 3.7166 1.8603
Ir 0.0000 7.8954 1.5107
Ir 2.3276 1.5033 4.8335
Ir 2.3276 5.6821 5.1831

---

No. 4
8
Lattice="4.6124 0.0000 0.0000 0.0000 4.6124 0.0000 0.0000 0.0000 9.9386" Properties=species:S:1:pos:R:3 comment="LaNdBi4Ir2 (PBE, relaxed)" final_energy_ev_per_atom=-5.92 space_group=P4mm density_g_cm3=11.808 m_tot_mub_per_cell=0.0 pbc="T T T"
La 0.0000 0.0000 0.0000
Nd 2.3062 2.3062 5.3986
Bi 0.0000 0.0000 6.0024
Bi 0.0000 2.3062 2.7286
Bi 2.3062 0.0000 2.7286
Bi 2.3062 2.3062 9.2718
Ir 0.0000 2.3062 7.6497
Ir 2.3062 0.0000 7.6497

---

No. 5
8
Lattice="4.6155 0.0000 0.0000 0.0000 4.6155 0.0000 0.0000 0.0000 10.0176" Properties=species:S:1:pos:R:3 comment="LaPrBi4Ir2 (PBE, relaxed)" final_energy_ev_per_atom=-5.92 space_group=P4mm density_g_cm3=11.673 m_tot_mub_per_cell=0.0 pbc="T T T"
La 0.0000 0.0000 0.0000
Pr 2.3077 2.3077 5.4134
Bi 0.0000 0.0000 6.0872
Bi 0.0000 2.3077 2.7301
Bi 2.3077 0.0000 2.7301
Bi 2.3077 2.3077 9.3284
Ir 0.0000 2.3077 7.7260
Ir 2.3077 0.0000 7.7260

---

No. 6
12
Lattice="4.6457 0.0000 0.0000 0.0000 9.4355 0.0000 0.0000 0.0000 6.6397" Properties=species:S:1:pos:R:3 comment="LaTaBi2Ir2 (PBE, relaxed)" final_energy_ev_per_atom=-7.54 space_group=Pmn2_1 density_g_cm3=12.806 m_tot_mub_per_cell=0.0 pbc="T T T"
La 0.0000 1.1638 0.0000
La 2.3228 8.2717 3.3198
Ta 0.0000 5.7933 0.1466
Ta 2.3228 3.6423 3.4665
Bi 0.0000 1.2844 3.2811
Bi 0.0000 5.8963 3.5546
Bi 2.3228 3.5392 0.2347
Bi 2.3228 8.1512 6.6009
Ir 0.0000 3.7509 1.8866
Ir 0.0000 7.9027 1.5013
Ir 2.3228 1.5328 4.8211
Ir 2.3228 5.6846 5.2065

---

No. 7
9
Lattice="5.8205 0.0000 0.0000 -2.9103 5.0407 0.0000 0.0000 0.0000 8.2862" Properties=species:S:1:pos:R:3 comment="LiBi5Ir3 (PBE, relaxed)" final_energy_ev_per_atom=-5.30 space_group=P6/mmm density_g_cm3=11.123 m_tot_mub_per_cell=0.0 pbc="T T T"
Li 0.0000 0.0000 0.0000
Bi 0.0000 0.0000 4.1431
Bi 0.0000 3.3605 1.8590
Bi 0.0000 3.3605 6.4272
Bi 2.9103 1.6802 1.8590
Bi 2.9103 1.6802 6.4272
Ir -1.4551 2.5204 4.1431
Ir 2.9103 0.0000 4.1431
Ir 1.4551 2.5204 4.1431

---

No. 8
4
Lattice="0.0000 3.4192 3.4192 3.4192 0.0000 3.4192 3.4192 3.4192 0.0000" Properties=species:S:1:pos:R:3 comment="LiLuBiIr (PBE, relaxed)" final_energy_ev_per_atom=-5.16 polymorph_energy_mev_per_atom=239 space_group=F-43m density_g_cm3=12.112 m_tot_mub_per_cell=0.0 pbc="T T T"
Li 0.0000 0.0000 0.0000
Lu 3.4192 3.4192 3.4192
Bi 1.7096 1.7096 1.7096
Ir 5.1287 5.1287 5.1287

---

No. 9
4
Lattice="0.0000 3.3765 3.3765 3.3765 0.0000 3.3765 3.3765 3.3765 0.0000" Properties=species:S:1:pos:R:3 comment="LiLuBiIr (PBE, relaxed)" final_energy_ev_per_atom=-5.07 polymorph_energy_mev_per_atom=332 space_group=F-43m density_g_cm3=12.576 m_tot_mub_per_cell=0.0 pbc="T T T"
Li 0.0000 0.0000 0.0000
Lu 1.6883 1.6883 1.6883
Bi 3.3765 3.3765 3.3765
Ir 5.0648 5.0648 5.0648

---

No. 10
4
Lattice="0.0000 3.3584 3.3584 3.3584 0.0000 3.3584 3.3584 3.3584 0.0000" Properties=species:S:1:pos:R:3 comment="LiLuBiIr (PBE, relaxed)" final_energy_ev_per_atom=-5.40 polymorph_energy_mev_per_atom=0 space_group=F-43m density_g_cm3=12.781 m_tot_mub_per_cell=0.0 pbc="T T T"
Li 0.0000 0.0000 0.0000
Lu 1.6792 1.6792 1.6792
Bi 5.0376 5.0376 5.0376
Ir 3.3584 3.3584 3.3584

---

No. 11
12
Lattice="-3.1877 3.1877 6.3212 3.1877 -3.1877 6.3212 3.1877 3.1877 -6.3212" Properties=species:S:1:pos:R:3 comment="LiNb3Bi4Ir4 (PBE, relaxed)" final_energy_ev_per_atom=-7.23 space_group=I-42m density_g_cm3=12.218 m_tot_mub_per_cell=0.0 pbc="T T T"
Li 0.0000 0.0000 0.0000
Nb 3.1877 0.0000 3.1606
Nb 0.0000 0.0000 6.3212
Nb 0.0000 3.1877 3.1606
Bi 3.1877 0.0000 0.0000
Bi 0.0000 0.0000 2.9208
Bi 0.0000 3.1877 0.0000
Bi 0.0000 0.0000 9.7216
Ir 1.4690 -1.4690 4.6595
Ir 1.7187 1.7187 1.6617
Ir -1.4690 1.4690 4.6595
Ir 1.4690 1.4690 7.9830

---

No. 12
8
Lattice="4.5387 0.0000 0.0000 0.0000 4.5387 0.0000 0.0000 0.0000 6.3994" Properties=species:S:1:pos:R:3 comment="Li4BiIr2Pb (PBE, relaxed)" final_energy_ev_per_atom=-4.34 space_group=P-4m2 density_g_cm3=10.435 m_tot_mub_per_cell=0.0 pbc="T T T"
Li 0.0000 0.0000 0.0000
Li 0.0000 2.2693 4.7777
Li 2.2693 0.0000 1.6218
Li 2.2693 2.2693 3.1997
Bi 2.2693 2.2693 0.0000
Ir 0.0000 2.2693 1.5775
Ir 2.2693 0.0000 4.8219
Pb 0.0000 0.0000 3.1997

---

- Number 11 is which compound?
  LiNb3Bi4Ir4